[1]
Co2AgHgAu (PBE-GGA, relaxed); DFT formation energy = 1.202 eV/atom; crystal system = tetragonal; total magnetic moment = 4.22 μB per formula unit; space group = No. 123
1.0
4.777 0.000 0.000
0.000 4.777 0.000
0.000 0.000 5.207
Co Ag Hg Au
2 1 1 1
Direct
0.000 0.500 0.000
0.500 0.000 0.000
0.000 0.000 0.500
0.500 0.500 0.500
0.500 0.500 0.000

***

[2]
SrTcRh2 (PBE-GGA, relaxed); distance to the lowest polymorph of the same formula = 0.338 eV/atom; DFT formation energy = 0.478 eV/atom; crystal system = cubic; total magnetic moment = 3.05 μB per formula unit; space group = No. 225
1.0
0.000 3.325 3.325
3.325 0.000 3.325
3.325 3.325 0.000
Sr Tc Rh
1 1 2
Direct
0.000 0.000 0.000
0.500 0.500 0.500
0.250 0.250 0.250
0.750 0.750 0.750

***

[3]
Ce5Pa3Se8 (PBE-GGA, relaxed); crystal system = trigonal; total magnetic moment = 6.24 μB per formula unit; space group = No. 166; ΔE_f (raw) = -1.573 eV/atom
1.0
4.128 2.384 6.826
-4.128 2.384 6.826
0.000 -4.767 6.826
Ce Pa Se
5 3 8
Direct
0.000 0.000 0.000
0.000 0.500 0.500
0.500 0.000 0.500
0.500 0.500 0.000
0.500 0.500 0.500
0.000 0.000 0.500
0.000 0.500 0.000
0.500 0.000 0.000
0.246 0.750 0.750
0.248 0.248 0.248
0.250 0.250 0.754
0.250 0.754 0.250
0.750 0.246 0.750
0.750 0.750 0.246
0.752 0.752 0.752
0.754 0.250 0.250

***

[4]
BePdW (PBE-GGA, relaxed); distance to the lowest polymorph of the same formula = 0.734 eV/atom; DFT formation energy = 0.535 eV/atom; crystal system = hexagonal; total magnetic moment = 0.00 μB per formula unit; space group = No. 194
1.0
4.326 0.000 0.000
-2.163 3.746 0.000
0.000 0.000 5.344
Be Pd W
2 2 2
Direct
0.000 0.000 0.000
0.000 0.000 0.500
0.333 0.667 0.250
0.667 0.333 0.750
0.333 0.667 0.750
0.667 0.333 0.250

***

[5]
NbTc2Ag2 (PBE-GGA, relaxed); distance to the lowest polymorph of the same formula = 0.045 eV/atom; DFT formation energy = 0.691 eV/atom; crystal system = tetragonal; total magnetic moment = 0.00 μB per formula unit; space group = No. 127
1.0
7.702 0.000 0.000
0.000 7.702 0.000
0.000 0.000 2.896
Nb Tc Ag
2 4 4
Direct
0.000 0.000 0.000
0.500 0.500 0.000
0.106 0.394 0.000
0.394 0.894 0.000
0.606 0.106 0.000
0.894 0.606 0.000
0.187 0.687 0.500
0.313 0.187 0.500
0.687 0.813 0.500
0.813 0.313 0.500

***

[6]
NaRe3N (PBE-GGA, relaxed); distance to the lowest polymorph of the same formula = 0.000 eV/atom; crystal system = cubic; total magnetic moment = 0.00 μB per formula unit; space group = No. 221; ΔE_f (raw) = 0.768 eV/atom
1.0
4.119 0.000 0.000
0.000 4.119 0.000
0.000 0.000 4.119
Na Re N
1 3 1
Direct
0.000 0.000 0.000
0.000 0.500 0.500
0.500 0.000 0.500
0.500 0.500 0.000
0.500 0.500 0.500

***

[7]
UCuGe2 (PBE-GGA, relaxed); DFT formation energy = -0.125 eV/atom; crystal system = tetragonal; total magnetic moment = 1.45 μB per formula unit; space group = No. 123
1.0
4.253 0.000 0.000
0.000 4.253 0.000
0.000 0.000 4.020
U Cu Ge
1 1 2
Direct
0.000 0.000 0.000
0.500 0.500 0.000
0.000 0.500 0.500
0.500 0.000 0.500

***

[8]
NpZn2Sn (PBE-GGA, relaxed); distance to the lowest polymorph of the same formula = 0.047 eV/atom; DFT formation energy = 0.094 eV/atom; crystal system = cubic; total magnetic moment = 4.24 μB per formula unit; space group = No. 225
1.0
0.000 3.454 3.454
3.454 0.000 3.454
3.454 3.454 0.000
Np Zn Sn
1 2 1
Direct
0.000 0.000 0.000
0.250 0.250 0.250
0.750 0.750 0.750
0.500 0.500 0.500

***

Computed V (Å³ per cell) in order:
118.8, 73.5, 403.0, 86.6, 171.8, 69.9, 72.7, 82.4